VASP calculation (GGA-PBEsol) on an optimized crystal structure of Zn3Te.

abc: 6.368 6.368 6.368
angles: 145.53 145.53 49.54
Atoms (fractional coordinates):
Zn 0.000 0.000 0.000
Zn 0.250 0.750 0.500
Zn 0.750 0.250 0.500
Te 0.500 0.500 0.000

Values from the calculation:
Its magnetic moment is 0.0 μB per formula unit. As for the density of states at the Fermi level: 0.313 states/eV per atom. The calculated volume is 20.6 A^3/atom. The value obtained for the formation energy without anion corrections is 0.203 eV per atom.

***

VASP calculation (GGA-PBEsol) on an optimized crystal structure of ZnTe7.

abc: 6.651 6.651 6.651
angles: 60.00 60.00 60.00
Atoms (fractional coordinates):
Zn 0.000 0.000 0.000
Te 0.000 0.000 0.500
Te 0.000 0.500 0.000
Te 0.000 0.500 0.500
Te 0.500 0.000 0.000
Te 0.500 0.000 0.500
Te 0.500 0.500 0.000
Te 0.500 0.500 0.500

Values from the calculation:
Its magnetic moment is 0.0 μB per formula unit. As for the density of states at the Fermi level: 0.807 states/eV per atom. The calculated volume is 26.0 A^3/atom. The value obtained for the formation energy without anion corrections is 0.359 eV per atom.

***

VASP calculation (GGA-PBEsol) on an optimized crystal structure of Zr5Te6.

abc: 11.616 11.616 7.053
angles: 90.00 90.00 120.00
Atoms (fractional coordinates):
Zr 0.000 0.000 0.000
Zr 0.000 0.298 0.000
Zr 0.000 0.362 0.500
Zr 0.000 0.638 0.500
Zr 0.000 0.702 0.000
Zr 0.298 0.000 0.000
Zr 0.298 0.298 0.000
Zr 0.333 0.667 0.512
Zr 0.362 0.000 0.500
Zr 0.362 0.362 0.500
Zr 0.638 0.000 0.500
Zr 0.638 0.638 0.500
Zr 0.667 0.333 0.488
Zr 0.702 0.000 0.000
Zr 0.702 0.702 0.000
Te 0.106 0.212 0.708
Te 0.106 0.894 0.708
Te 0.118 0.559 0.794
Te 0.212 0.106 0.292
Te 0.225 0.450 0.243
Te 0.225 0.775 0.243
Te 0.441 0.559 0.794
Te 0.441 0.882 0.794
Te 0.450 0.225 0.757
Te 0.550 0.775 0.243
Te 0.559 0.118 0.206
Te 0.559 0.441 0.206
Te 0.775 0.225 0.757
Te 0.775 0.550 0.757
Te 0.788 0.894 0.708
Te 0.882 0.441 0.206
Te 0.894 0.106 0.292
Te 0.894 0.788 0.292

Values from the calculation:
Its magnetic moment is 0.0 μB per formula unit. As for the density of states at the Fermi level: 0.533 states/eV per atom. The calculated volume is 25.0 A^3/atom. The value obtained for the formation energy without anion corrections is -0.953 eV per atom.

***

VASP calculation (GGA-PBEsol) on an optimized crystal structure of ZrTe4.

abc: 5.863 5.863 5.863
angles: 109.47 109.47 109.47
Atoms (fractional coordinates):
Zr 0.000 0.000 0.000
Te 0.000 0.000 0.500
Te 0.000 0.500 0.000
Te 0.500 0.000 0.000
Te 0.500 0.500 0.500

Values from the calculation:
Its magnetic moment is 0.0 μB per formula unit. As for the density of states at the Fermi level: 0.690 states/eV per atom. The calculated volume is 31.0 A^3/atom. The value obtained for the formation energy without anion corrections is -0.156 eV per atom.

***

Which formula does entry 2 have?
ZnTe7

***

formation energy without anion corrections of number 2 (ZnTe7)?
0.359 eV per atom